Cs2ZnSiBr6 GGA-PBE relaxed; E_form (uncorrected) = -1.0487 eV per atom
1.0
0.000 5.443 5.443
5.443 0.000 5.443
5.443 5.443 0.000
Cs Zn Si Br
2 1 1 6
direct
0.250 0.250 0.250
0.750 0.750 0.750
0.000 0.000 0.000
0.500 0.500 0.500
0.247 0.247 0.753
0.247 0.753 0.247
0.247 0.753 0.753
0.753 0.247 0.247
0.753 0.247 0.753
0.753 0.753 0.247